Entry 1:
DFT (PBE-GGA) results for Pa4RhSe2S after structural relaxation.

Output
- magnetization (μB per atom) = 0.0002
- formation energy (no corrections) (meV/atom) = -1144
- DFT total energy (eV per atom) = -8.198
- crystal system = monoclinic
- density (g cm⁻³) = 10.936

Structure (CIF):
```
data_Pa4RhSe2S
_chemical_formula_sum 'Pa4 Rh1 Se2 S1'
_symmetry_space_group_name_H-M 'P 1'
_symmetry_Int_Tables_number 1
_cell_length_a 7.039
_cell_length_b 3.835
_cell_length_c 7.197
_cell_angle_alpha 90.00
_cell_angle_beta 107.96
_cell_angle_gamma 90.00
loop_
_symmetry_equiv_pos_as_xyz
'x,y,z'
loop_
_atom_site_label
_atom_site_type_symbol
_atom_site_fract_x
_atom_site_fract_y
_atom_site_fract_z
Pa1 Pa 0.237 0.000 0.232
Pa2 Pa 0.255 0.500 0.774
Pa3 Pa 0.745 0.500 0.226
Pa4 Pa 0.763 0.000 0.768
Rh1 Rh 0.500 0.000 0.000
Se1 Se 0.000 0.000 0.500
Se2 Se 0.500 0.500 0.500
S1 S 0.000 0.500 0.000
```



Entry 2:
DFT (PBE-GGA) results for TlNi2Rh after structural relaxation.

Output
- magnetization (μB per atom) = 0.2413
- DFT total energy (eV per atom) = -5.082
- crystal system = cubic
- density (g cm⁻³) = 11.967
- E above lowest polymorph (meV/atom) = 42

Structure (CIF):
```
data_TlNi2Rh
_chemical_formula_sum 'Tl1 Ni2 Rh1'
_symmetry_space_group_name_H-M 'P 1'
_symmetry_Int_Tables_number 1
_cell_length_a 4.368
_cell_length_b 4.368
_cell_length_c 4.368
_cell_angle_alpha 60.00
_cell_angle_beta 60.00
_cell_angle_gamma 60.00
loop_
_symmetry_equiv_pos_as_xyz
'x,y,z'
loop_
_atom_site_label
_atom_site_type_symbol
_atom_site_fract_x
_atom_site_fract_y
_atom_site_fract_z
Tl1 Tl 0.000 0.000 0.000
Ni1 Ni 0.250 0.250 0.250
Ni2 Ni 0.500 0.500 0.500
Rh1 Rh 0.750 0.750 0.750
```



Entry 3:
DFT (PBE-GGA) results for La3TcO7 after structural relaxation.

Output
- magnetization (μB per atom) = 0.1822
- formation energy (no corrections) (meV/atom) = -2838
- DFT total energy (eV per atom) = -8.279
- crystal system = orthorhombic
- density (g cm⁻³) = 6.199

Structure (CIF):
```
data_La3TcO7
_chemical_formula_sum 'La6 Tc2 O14'
_symmetry_space_group_name_H-M 'P 1'
_symmetry_Int_Tables_number 1
_cell_length_a 6.766
_cell_length_b 6.766
_cell_length_c 7.777
_cell_angle_alpha 90.00
_cell_angle_beta 90.00
_cell_angle_gamma 109.41
loop_
_symmetry_equiv_pos_as_xyz
'x,y,z'
loop_
_atom_site_label
_atom_site_type_symbol
_atom_site_fract_x
_atom_site_fract_y
_atom_site_fract_z
La1 La 0.023 0.023 0.000
La2 La 0.034 0.499 0.255
La3 La 0.499 0.034 0.745
La4 La 0.501 0.966 0.245
La5 La 0.966 0.501 0.755
La6 La 0.977 0.977 0.500
Tc1 Tc 0.500 0.500 0.000
Tc2 Tc 0.500 0.500 0.500
O1 O 0.129 0.871 0.750
O2 O 0.135 0.865 0.250
O3 O 0.184 0.424 0.977
O4 O 0.200 0.445 0.532
O5 O 0.424 0.184 0.023
O6 O 0.445 0.200 0.468
O7 O 0.446 0.554 0.250
O8 O 0.554 0.446 0.750
O9 O 0.555 0.800 0.968
O10 O 0.576 0.816 0.523
O11 O 0.800 0.555 0.032
O12 O 0.816 0.576 0.477
O13 O 0.865 0.135 0.750
O14 O 0.871 0.129 0.250
```



Entry 4:
DFT (PBE-GGA) results for In2SnS5 after structural relaxation.

Output
- magnetization (μB per atom) = 0.0000
- formation energy (no corrections) (meV/atom) = -356
- DFT total energy (eV per atom) = -4.121
- crystal system = orthorhombic
- density (g cm⁻³) = 4.036
- E above lowest polymorph (meV/atom) = 33

Structure (CIF):
```
data_In2SnS5
_chemical_formula_sum 'In4 Sn2 S10'
_symmetry_space_group_name_H-M 'P 1'
_symmetry_Int_Tables_number 1
_cell_length_a 7.010
_cell_length_b 7.010
_cell_length_c 12.162
_cell_angle_alpha 90.00
_cell_angle_beta 90.00
_cell_angle_gamma 135.55
loop_
_symmetry_equiv_pos_as_xyz
'x,y,z'
loop_
_atom_site_label
_atom_site_type_symbol
_atom_site_fract_x
_atom_site_fract_y
_atom_site_fract_z
In1 In 0.146 0.854 0.564
In2 In 0.146 0.854 0.936
In3 In 0.854 0.146 0.064
In4 In 0.854 0.146 0.436
Sn1 Sn 0.198 0.802 0.250
Sn2 Sn 0.802 0.198 0.750
S1 S 0.052 0.948 0.116
S2 S 0.052 0.948 0.384
S3 S 0.250 0.750 0.750
S4 S 0.316 0.684 0.079
S5 S 0.316 0.684 0.421
S6 S 0.684 0.316 0.579
S7 S 0.684 0.316 0.921
S8 S 0.750 0.250 0.250
S9 S 0.948 0.052 0.616
S10 S 0.948 0.052 0.884
```



Entry 5:
DFT (PBE-GGA) results for Hf2SiRuN after structural relaxation.

Output
- magnetization (μB per atom) = 0.0996
- formation energy (no corrections) (meV/atom) = 1260
- DFT total energy (eV per atom) = -7.327
- crystal system = tetragonal
- density (g cm⁻³) = 8.253
- E above lowest polymorph (meV/atom) = 1886

Structure (CIF):
```
data_Hf2SiRuN
_chemical_formula_sum 'Hf2 Si1 Ru1 N1'
_symmetry_space_group_name_H-M 'P 1'
_symmetry_Int_Tables_number 1
_cell_length_a 4.903
_cell_length_b 4.903
_cell_length_c 4.187
_cell_angle_alpha 90.00
_cell_angle_beta 90.00
_cell_angle_gamma 90.00
loop_
_symmetry_equiv_pos_as_xyz
'x,y,z'
loop_
_atom_site_label
_atom_site_type_symbol
_atom_site_fract_x
_atom_site_fract_y
_atom_site_fract_z
Hf1 Hf 0.000 0.500 0.000
Hf2 Hf 0.500 0.000 0.000
Si1 Si 0.000 0.000 0.000
Ru1 Ru 0.000 0.000 0.500
N1 N 0.500 0.500 0.500
```



Entry 6:
DFT (PBE-GGA) results for MnAl2In after structural relaxation.

Output
- magnetization (μB per atom) = 0.6510
- DFT total energy (eV per atom) = -4.755
- crystal system = orthorhombic
- density (g cm⁻³) = 5.382

Structure (CIF):
```
data_MnAl2In
_chemical_formula_sum 'Mn1 Al2 In1'
_symmetry_space_group_name_H-M 'P 1'
_symmetry_Int_Tables_number 1
_cell_length_a 5.742
_cell_length_b 5.742
_cell_length_c 5.742
_cell_angle_alpha 150.73
_cell_angle_beta 131.33
_cell_angle_gamma 57.81
loop_
_symmetry_equiv_pos_as_xyz
'x,y,z'
loop_
_atom_site_label
_atom_site_type_symbol
_atom_site_fract_x
_atom_site_fract_y
_atom_site_fract_z
Mn1 Mn 0.000 0.000 0.000
Al1 Al 0.214 0.714 0.500
Al2 Al 0.786 0.286 0.500
In1 In 0.500 0.500 0.000
```



Entry 7:
DFT (PBE-GGA) results for TlGa3Ag after structural relaxation.

Output
- magnetization (μB per atom) = 0.0000
- DFT total energy (eV per atom) = -2.605
- crystal system = cubic
- density (g cm⁻³) = 6.679
- E above lowest polymorph (meV/atom) = 0

Structure (CIF):
```
data_TlGa3Ag
_chemical_formula_sum 'Tl1 Ga3 Ag1'
_symmetry_space_group_name_H-M 'P 1'
_symmetry_Int_Tables_number 1
_cell_length_a 5.061
_cell_length_b 5.061
_cell_length_c 5.061
_cell_angle_alpha 90.00
_cell_angle_beta 90.00
_cell_angle_gamma 90.00
loop_
_symmetry_equiv_pos_as_xyz
'x,y,z'
loop_
_atom_site_label
_atom_site_type_symbol
_atom_site_fract_x
_atom_site_fract_y
_atom_site_fract_z
Tl1 Tl 0.000 0.000 0.000
Ga1 Ga 0.000 0.500 0.500
Ga2 Ga 0.500 0.000 0.500
Ga3 Ga 0.500 0.500 0.000
Ag1 Ag 0.500 0.500 0.500
```



Entry 8:
DFT (PBE-GGA) results for Ba2HoPbS5 after structural relaxation.

Output
- magnetization (μB per atom) = 0.0000
- formation energy (no corrections) (meV/atom) = -1570
- DFT total energy (eV per atom) = -5.211
- crystal system = orthorhombic
- density (g cm⁻³) = 5.344

Structure (CIF):
```
data_Ba2HoPbS5
_chemical_formula_sum 'Ba4 Ho2 Pb2 S10'
_symmetry_space_group_name_H-M 'P 1'
_symmetry_Int_Tables_number 1
_cell_length_a 9.211
_cell_length_b 9.211
_cell_length_c 13.169
_cell_angle_alpha 90.00
_cell_angle_beta 90.00
_cell_angle_gamma 153.33
loop_
_symmetry_equiv_pos_as_xyz
'x,y,z'
loop_
_atom_site_label
_atom_site_type_symbol
_atom_site_fract_x
_atom_site_fract_y
_atom_site_fract_z
Ba1 Ba 0.113 0.887 0.500
Ba2 Ba 0.141 0.859 0.121
Ba3 Ba 0.859 0.141 0.621
Ba4 Ba 0.887 0.113 0.000
Ho1 Ho 0.213 0.787 0.832
Ho2 Ho 0.787 0.213 0.332
Pb1 Pb 0.467 0.533 0.270
Pb2 Pb 0.533 0.467 0.770
S1 S 0.058 0.942 0.889
S2 S 0.284 0.716 0.465
S3 S 0.317 0.683 0.195
S4 S 0.361 0.639 0.814
S5 S 0.490 0.510 0.579
S6 S 0.510 0.490 0.079
S7 S 0.639 0.361 0.314
S8 S 0.683 0.317 0.695
S9 S 0.716 0.284 0.965
S10 S 0.942 0.058 0.389
```



Entry 9:
DFT (PBE-GGA) results for GaP2CCl after structural relaxation.

Output
- magnetization (μB per atom) = 0.0000
- formation energy (no corrections) (meV/atom) = 1563
- DFT total energy (eV per atom) = -3.420
- crystal system = tetragonal
- density (g cm⁻³) = 3.196
- E above lowest polymorph (meV/atom) = 745

Structure (CIF):
```
data_GaP2CCl
_chemical_formula_sum 'Ga1 P2 C1 Cl1'
_symmetry_space_group_name_H-M 'P 1'
_symmetry_Int_Tables_number 1
_cell_length_a 5.000
_cell_length_b 5.000
_cell_length_c 3.722
_cell_angle_alpha 90.00
_cell_angle_beta 90.00
_cell_angle_gamma 90.00
loop_
_symmetry_equiv_pos_as_xyz
'x,y,z'
loop_
_atom_site_label
_atom_site_type_symbol
_atom_site_fract_x
_atom_site_fract_y
_atom_site_fract_z
Ga1 Ga 0.000 0.000 0.000
P1 P 0.000 0.500 0.000
P2 P 0.500 0.000 0.000
C1 C 0.000 0.000 0.500
Cl1 Cl 0.500 0.500 0.500
```



Entry 10:
DFT (PBE-GGA) results for VTcSe2N after structural relaxation.

Output
- magnetization (μB per atom) = 0.0003
- formation energy (no corrections) (meV/atom) = 589
- DFT total energy (eV per atom) = -6.367
- crystal system = tetragonal
- density (g cm⁻³) = 5.742
- E above lowest polymorph (meV/atom) = 121

Structure (CIF):
```
data_VTcSe2N
_chemical_formula_sum 'V1 Tc1 Se2 N1'
_symmetry_space_group_name_H-M 'P 1'
_symmetry_Int_Tables_number 1
_cell_length_a 5.026
_cell_length_b 5.026
_cell_length_c 3.673
_cell_angle_alpha 90.00
_cell_angle_beta 90.00
_cell_angle_gamma 90.00
loop_
_symmetry_equiv_pos_as_xyz
'x,y,z'
loop_
_atom_site_label
_atom_site_type_symbol
_atom_site_fract_x
_atom_site_fract_y
_atom_site_fract_z
V1 V 0.000 0.000 0.000
Tc1 Tc 0.500 0.500 0.500
Se1 Se 0.000 0.500 0.500
Se2 Se 0.500 0.000 0.500
N1 N 0.500 0.500 0.000
```